Record 1
The following is a DFT calculation (PBE) of a geometry-optimized PuHfTiOs structure.

Lattice parameters (Å, degrees): 6.6262 6.6262 6.6262 90.00 90.00 90.00
Space group F-43m (No. 216)
Unique sites:
1 Pu 0.0000 0.0000 0.0000
2 Hf 0.2500 0.2500 0.7500
3 Ti 0.2500 0.2500 0.2500
4 Os 0.0000 0.0000 0.5000

**Energy of formation**: 0.000 eV/atom
**Crystal system**: cubic
**Final energy**: -10.8525 eV per atom

Record 2
The following is a DFT calculation (PBE) of a geometry-optimized PuHfZrOs structure.

Lattice parameters (Å, degrees): 6.7971 6.7971 6.7971 90.00 90.00 90.00
Space group F-43m (No. 216)
Unique sites:
1 Pu 0.0000 0.0000 0.0000
2 Hf 0.2500 0.2500 0.2500
3 Zr 0.2500 0.2500 0.7500
4 Os 0.0000 0.0000 0.5000

**Energy of formation**: 0.019 eV/atom
**Crystal system**: cubic
**Final energy**: -10.9970 eV per atom

Record 3
The following is a DFT calculation (PBE) of a geometry-optimized RbHfOs3 structure.

Lattice parameters (Å, degrees): 5.0101 5.0101 5.0101 90.00 90.00 90.00
Space group Pm-3m (No. 221)
Unique sites:
1 Rb 0.0000 0.0000 0.0000
2 Hf 0.5000 0.5000 0.5000
3 Os 0.0000 0.5000 0.5000

**Energy of formation**: 2.203 eV/atom
**Crystal system**: cubic
**Final energy**: -6.7191 eV per atom
**ΔE to the lowest computed polymorph**: 0.0 meV/atom

Record 4
The following is a DFT calculation (PBE) of a geometry-optimized RbHf2Os structure.

Lattice parameters (Å, degrees): 6.9491 6.9491 6.9491 90.00 90.00 90.00
Space group Fm-3m (No. 225)
Unique sites:
1 Rb 0.0000 0.0000 0.0000
2 Hf 0.2500 0.2500 0.2500
3 Os 0.0000 0.0000 0.5000

**Energy of formation**: 0.903 eV/atom
**Crystal system**: cubic
**Final energy**: -7.1234 eV per atom
**ΔE to the lowest computed polymorph**: 0.0 meV/atom

Record 5
The following is a DFT calculation (PBE) of a geometry-optimized RbHf2Os structure.

Lattice parameters (Å, degrees): 6.5135 6.5135 15.1941 90.00 90.00 90.00
Space group I4_1/amd (No. 141, origin choice 2)
Unique sites:
1 Rb 0.0000 0.2500 0.3750
2 Hf 0.0000 0.0000 0.0000
3 Os 0.0000 0.2500 0.8750

**Energy of formation**: 1.151 eV/atom
**Crystal system**: tetragonal
**Final energy**: -6.8751 eV per atom
**ΔE to the lowest computed polymorph**: 248.3 meV/atom

Record 6
The following is a DFT calculation (PBE) of a geometry-optimized RbHf3Os structure.

Lattice parameters (Å, degrees): 5.1841 5.1841 5.1841 90.00 90.00 90.00
Space group Pm-3m (No. 221)
Unique sites:
1 Rb 0.0000 0.0000 0.0000
2 Hf 0.0000 0.5000 0.5000
3 Os 0.5000 0.5000 0.5000

**Energy of formation**: 0.604 eV/atom
**Crystal system**: cubic
**Final energy**: -7.8071 eV per atom
**ΔE to the lowest computed polymorph**: 0.0 meV/atom

Record 7
The following is a DFT calculation (PBE) of a geometry-optimized RbHfOs3 structure.

Lattice parameters (Å, degrees): 4.6775 4.6775 4.6775 90.00 90.00 90.00
Space group Pm-3m (No. 221)
Unique sites:
1 Rb 0.0000 0.0000 0.0000
2 Hf 0.5000 0.5000 0.5000
3 Os 0.0000 0.0000 0.5000

**Energy of formation**: 3.365 eV/atom
**Crystal system**: cubic
**Final energy**: -5.5566 eV per atom
**ΔE to the lowest computed polymorph**: 1162.5 meV/atom

Record 8
The following is a DFT calculation (PBE) of a geometry-optimized Rb3HfOs structure.

Lattice parameters (Å, degrees): 6.1632 6.1632 6.1632 90.00 90.00 90.00
Space group Pm-3m (No. 221)
Unique sites:
1 Rb 0.0000 0.0000 0.5000
2 Hf 0.5000 0.5000 0.5000
3 Os 0.0000 0.0000 0.0000

**Energy of formation**: 2.271 eV/atom
**Crystal system**: cubic
**Final energy**: -2.5465 eV per atom

Record 9
The following is a DFT calculation (PBE) of a geometry-optimized RbHf3Os structure.

Lattice parameters (Å, degrees): 4.8344 4.8344 4.8344 90.00 90.00 90.00
Space group Pm-3m (No. 221)
Unique sites:
1 Rb 0.0000 0.0000 0.0000
2 Hf 0.0000 0.0000 0.5000
3 Os 0.5000 0.5000 0.5000

**Energy of formation**: 2.691 eV/atom
**Crystal system**: cubic
**Final energy**: -5.7208 eV per atom
**ΔE to the lowest computed polymorph**: 2086.3 meV/atom

Record 10
The following is a DFT calculation (PBE) of a geometry-optimized Rb2HfReOs structure.

Lattice parameters (Å, degrees): 6.3286 6.3286 4.6257 90.00 90.00 90.00
Space group P4/mmm (No. 123)
Unique sites:
1 Rb 0.0000 0.5000 0.0000
2 Hf 0.0000 0.0000 0.5000
3 Re 0.5000 0.5000 0.0000
4 Os 0.5000 0.5000 0.5000

**Energy of formation**: 2.429 eV/atom
**Crystal system**: tetragonal
**Final energy**: -4.6844 eV per atom

Record 11
The following is a DFT calculation (PBE) of a geometry-optimized RbHfOs2Ru structure.

Lattice parameters (Å, degrees): 4.7150 4.7150 4.5917 90.00 90.00 90.00
Space group P4/mmm (No. 123)
Unique sites:
1 Rb 0.0000 0.0000 0.0000
2 Hf 0.5000 0.5000 0.5000
3 Os 0.0000 0.5000 0.0000
4 Ru 0.0000 0.0000 0.5000

**Energy of formation**: 3.083 eV/atom
**Crystal system**: tetragonal
**Final energy**: -5.4479 eV per atom

Record 12
The following is a DFT calculation (PBE) of a geometry-optimized Hf4ReOs structure.

Lattice parameters (Å, degrees): 7.8410 4.5190 7.8407 90.00 109.51 90.00
Space group C2/m (No. 12)
Unique sites:
1 Hf 0.1249 0.0000 0.3748
2 Hf 0.1250 0.5000 0.8750
3 Re 0.0000 0.0000 0.0000
4 Os 0.0000 0.5000 0.5000

**Energy of formation**: -0.151 eV/atom
**Crystal system**: monoclinic
**Final energy**: -10.7329 eV per atom
**ΔE to the lowest computed polymorph**: 145.2 meV/atom

Record 13
The following is a DFT calculation (PBE) of a geometry-optimized Hf8Re2Os structure.

Lattice parameters (Å, degrees): 15.8349 4.5691 6.5017 90.00 108.29 90.00
Space group C2/m (No. 12)
Unique sites:
1 Hf 0.0205 0.0000 0.2640
2 Hf 0.0972 0.5000 0.9547
3 Hf 0.1637 0.5000 0.4443
4 Hf 0.1974 0.0000 0.7861
5 Re 0.1825 0.0000 0.1885
6 Os 0.0000 0.5000 0.5000

**Energy of formation**: -0.192 eV/atom
**Crystal system**: monoclinic
**Final energy**: -10.7151 eV per atom

Record 14
The following is a DFT calculation (PBE) of a geometry-optimized HfRe2Os2 structure.

Lattice parameters (Å, degrees): 7.6264 7.6264 2.7959 90.00 90.00 90.00
Space group P4/mbm (No. 127)
Unique sites:
1 Hf 0.0000 0.0000 0.0000
2 Re 0.1712 0.3288 0.5000
3 Os 0.1244 0.6244 0.0000

**Energy of formation**: -0.019 eV/atom
**Crystal system**: tetragonal
**Final energy**: -11.4805 eV per atom
**ΔE to the lowest computed polymorph**: 0.0 meV/atom